The following is a DFT calculation (PBE-GGA) of a relaxed CuRhCS crystal.

The uncorrected formation energy comes out at 1.488 eV/f.u. For the energy above the lowest structure with this stoichiometry, the calculation gives 0.78 kcal/mol of atoms. The calculation puts the total magnetic moment at 0.0 μB per cell. For the electronic total energy, the calculation gives -5.828 eV/atom.

The structure belongs to space group Imm2 (No. 44); the cell edges are 3.290, 3.838 and 8.891 Å and the angles 90.00°, 90.00° and 90.00°. Symmetry generates all atoms from Cu at (0.000, 0.000, 0.000), Rh at (0.000, 0.000, 0.408), C at (0.000, 0.500, 0.056) and S at (0.000, 0.500, 0.248).